1.
Compound: Si2HgH
Source: Alexandria
Functional: PBE-GGA
Structure: optimized geometry

volume = 265.8 Å³ per cell
raw total energy = -3.0296 eV/atom

Unit cell a=4.5387 b=4.5387 c=12.9023 alpha=90.00 beta=90.00 gamma=90.00
Space group I-42d (No. 122)
Unique sites:
Si1 0.1007 0.2500 0.1250 [8 per cell]
Hg1 0.0000 0.0000 0.5000 [4 per cell]
H1 0.0000 0.0000 0.0000 [4 per cell]

***

2.
Compound: SiHg3H
Source: Alexandria
Functional: PBE-GGA
Structure: optimized geometry

volume = 137.1 Å³ per cell
polymorph energy (0 for the lowest one) = 0.0 meV per atom
raw total energy = -1.3414 eV/atom

Unit cell a=5.1560 b=5.1560 c=5.1560 alpha=90.00 beta=90.00 gamma=90.00
Space group Pm-3m (No. 221)
Unique sites:
Si1 0.0000 0.0000 0.0000 [1 per cell]
Hg1 0.0000 0.0000 0.5000 [3 per cell]
H1 0.5000 0.5000 0.5000 [1 per cell]

***

3.
Compound: SiSnHg2H
Source: Alexandria
Functional: PBE-GGA
Structure: optimized geometry

volume = 100.7 Å³ per cell
raw total energy = -2.1064 eV/atom

Unit cell a=4.7908 b=4.7908 c=4.3854 alpha=90.00 beta=90.00 gamma=90.00
Space group P4/mmm (No. 123)
Unique sites:
Si1 0.0000 0.0000 0.0000 [1 per cell]
Sn1 0.5000 0.5000 0.0000 [1 per cell]
Hg1 0.0000 0.5000 0.5000 [2 per cell]
H1 0.5000 0.5000 0.5000 [1 per cell]

***

- Which of these has the highest raw total energy?
  SiHg3H

***

Please write out number 1 again, unchanged.
Compound: Si2HgH
Source: Alexandria
Functional: PBE-GGA
Structure: optimized geometry

volume = 265.8 Å³ per cell
raw total energy = -3.0296 eV/atom

Unit cell a=4.5387 b=4.5387 c=12.9023 alpha=90.00 beta=90.00 gamma=90.00
Space group I-42d (No. 122)
Unique sites:
Si1 0.1007 0.2500 0.1250 [8 per cell]
Hg1 0.0000 0.0000 0.5000 [4 per cell]
H1 0.0000 0.0000 0.0000 [4 per cell]

***

Copy entry 2 word for word.
Compound: SiHg3H
Source: Alexandria
Functional: PBE-GGA
Structure: optimized geometry

volume = 137.1 Å³ per cell
polymorph energy (0 for the lowest one) = 0.0 meV per atom
raw total energy = -1.3414 eV/atom

Unit cell a=5.1560 b=5.1560 c=5.1560 alpha=90.00 beta=90.00 gamma=90.00
Space group Pm-3m (No. 221)
Unique sites:
Si1 0.0000 0.0000 0.0000 [1 per cell]
Hg1 0.0000 0.0000 0.5000 [3 per cell]
H1 0.5000 0.5000 0.5000 [1 per cell]

***

- Number 2 is which compound?
  SiHg3H